First-principles (GGA-PBE) data for a relaxed CaSeI3 crystal, as listed in Alexandria. Values from VASP.

```
&SYSTEM
  ibrav = 0, nat = 5, ntyp = 3
/
ATOMIC_SPECIES
I 126.90 I.upf
Ca 40.08 Ca.upf
Se 78.96 Se.upf
CELL_PARAMETERS angstrom
-1.538 -5.234 -2.787
5.572 -0.291 -2.528
2.028 -3.170 4.834
ATOMIC_POSITIONS crystal
I 0.000 0.500 0.000
I 0.000 0.000 0.500
I 0.500 0.000 0.000
Ca 0.000 0.000 0.000
Se 0.500 0.500 0.500
```

Results
**Energy relative to the elements, uncorrected**: -0.3618 eV per atom
**E**: -11.95 eV per cell
**Energy relative to the lowest polymorph listed for this composition**: 0 meV per atom
**V**: 229.9 Å³/cell
**Crystal system**: cubic



First-principles (GGA-PBE) data for a relaxed LaBeBIr2 crystal, as listed in Alexandria. Values from VASP.

```
&SYSTEM
  ibrav = 0, nat = 5, ntyp = 4
/
ATOMIC_SPECIES
Be 9.01 Be.upf
B 10.81 B.upf
Ir 192.22 Ir.upf
La 138.91 La.upf
CELL_PARAMETERS angstrom
4.151 0.000 0.000
0.000 4.984 0.000
0.000 0.000 4.151
ATOMIC_POSITIONS crystal
Be 0.500 0.500 0.500
B 0.000 0.000 0.000
Ir 0.000 0.000 0.500
Ir 0.500 0.000 0.000
La 0.000 0.500 0.000
```

Results
**E**: -32.12 eV per cell
**V**: 85.9 Å³/cell
**Crystal system**: tetragonal



First-principles (GGA-PBE) data for a relaxed MnCrHg4 crystal, as listed in Alexandria. Values from VASP.

```
&SYSTEM
  ibrav = 0, nat = 6, ntyp = 3
/
ATOMIC_SPECIES
Mn 54.94 Mn.upf
Cr 52.00 Cr.upf
Hg 200.59 Hg.upf
CELL_PARAMETERS angstrom
-0.740 -5.630 -0.877
-0.422 -3.574 4.479
-5.039 -2.463 1.244
ATOMIC_POSITIONS crystal
Mn 0.750 0.750 0.750
Cr 0.000 0.000 0.000
Hg 0.875 0.375 0.375
Hg 0.375 0.375 0.875
Hg 0.375 0.875 0.375
Hg 0.375 0.375 0.375
```

Results
**E**: -16.00 eV per cell
**V**: 134.1 Å³/cell
**Crystal system**: cubic



First-principles (GGA-PBE) data for a relaxed AcDyMgSn2 crystal, as listed in Alexandria. Values from VASP.

```
&SYSTEM
  ibrav = 0, nat = 5, ntyp = 4
/
ATOMIC_SPECIES
Ac 227.00 Ac.upf
Dy 162.50 Dy.upf
Mg 24.30 Mg.upf
Sn 118.71 Sn.upf
CELL_PARAMETERS angstrom
-4.269 0.820 1.915
-0.386 -4.602 1.110
5.219 3.081 4.424
ATOMIC_POSITIONS crystal
Ac 0.000 0.000 0.000
Dy 0.750 0.250 0.500
Mg 0.250 0.750 0.500
Sn 0.610 0.610 0.220
Sn 0.390 0.390 0.780
```

Results
**E**: -21.23 eV per cell
**V**: 151.4 Å³/cell
**Crystal system**: tetragonal